Entry 1:
Crystalline BaZr2Os at its relaxed geometry, computed with PBE-GGA.

a = 6.021 Å, b = 5.663 Å, c = 3.215 Å
α = 79.45°, β = 79.07°, γ = 118.54°
Atoms (fractional coordinates):
Zr 0.500 0.000 0.500
Zr 0.000 0.000 0.000
Os 0.500 0.500 0.000
Ba 0.000 0.500 0.500

Output
The total moment is 0.000 μB per atom. Its total energy is -6.800 eV/atom. Its density of states at the Fermi level is 4.43 states/eV/f.u.

=====

Entry 2:
Crystalline BaP3 at its relaxed geometry, computed with PBE-GGA.

a = 5.209 Å, b = 5.209 Å, c = 5.209 Å
α = 131.60°, β = 106.25°, γ = 93.22°
Atoms (fractional coordinates):
Ba 0.000 0.000 0.000
P 0.500 0.500 0.000
P 0.654 0.154 0.500
P 0.346 0.846 0.500

Output
The total moment is 0.000 μB per atom. Its total energy is -4.830 eV/atom. Its density of states at the Fermi level is 1.38 states/eV/f.u.

=====

Entry 3:
Crystalline BaP3 at its relaxed geometry, computed with PBE-GGA.

a = 6.158 Å, b = 5.963 Å, c = 6.159 Å
α = 71.30°, β = 74.65°, γ = 71.34°
Atoms (fractional coordinates):
P 0.393 0.166 0.889
P 0.979 0.823 0.979
P 0.111 0.835 0.607
P 0.889 0.165 0.393
P 0.021 0.177 0.021
P 0.607 0.834 0.111
Ba 0.337 0.352 0.338
Ba 0.663 0.648 0.662

Output
The total moment is 0.000 μB per atom. Its total energy is -5.175 eV/atom. Its density of states at the Fermi level is 0.01 states/eV/f.u.

=====

Entry 4:
Crystalline Ba3P5 at its relaxed geometry, computed with PBE-GGA.

a = 6.738 Å, b = 6.738 Å, c = 4.730 Å
α = 90.00°, β = 90.00°, γ = 99.60°
Atoms (fractional coordinates):
P 0.500 0.000 0.000
P 0.244 0.244 0.500
P 0.756 0.756 0.500
P 0.000 0.000 0.000
P 0.000 0.500 0.000
Ba 0.220 0.780 0.500
Ba 0.780 0.220 0.500
Ba 0.500 0.500 0.000

Output
The total moment is 0.000 μB per atom. Its total energy is -4.260 eV/atom. Its density of states at the Fermi level is 3.86 states/eV/f.u.

=====

Entry 5:
Crystalline BaP at its relaxed geometry, computed with PBE-GGA.

a = 6.485 Å, b = 6.485 Å, c = 5.617 Å
α = 90.00°, β = 90.00°, γ = 148.03°
Atoms (fractional coordinates):
P 0.120 0.880 0.250
P 0.880 0.120 0.750
Ba 0.618 0.382 0.750
Ba 0.382 0.618 0.250

Output
The total moment is 0.000 μB per atom. Its total energy is -4.269 eV/atom. Its density of states at the Fermi level is 1.34 states/eV/f.u.

=====

Entry 6:
Crystalline BaP3 at its relaxed geometry, computed with PBE-GGA.

a = 10.421 Å, b = 10.421 Å, c = 10.421 Å
α = 155.39°, β = 155.39°, γ = 35.08°
Atoms (fractional coordinates):
P 0.250 0.750 0.500
P 0.000 0.500 0.500
P 0.945 0.945 0.000
P 0.500 0.000 0.500
P 0.750 0.250 0.500
P 0.055 0.055 0.000
Ba 0.370 0.370 0.000
Ba 0.630 0.630 0.000

Output
The total moment is 0.000 μB per atom. Its total energy is -4.671 eV/atom. Its density of states at the Fermi level is 2.00 states/eV/f.u.